--- one ---
A relaxed MoIrOs2 crystal. Source: OQMD, functional GGA-PBE.

Properties
**Magnetization**: 0.0012 μB/atom
**Space group**: F-43m

Unit cell a=4.403 b=4.403 c=4.403 alpha=60.00 beta=60.00 gamma=60.00
Element x y z (fractional)
Ir1 0.250 0.250 0.250
Mo1 0.500 0.500 0.500
Os1 0.000 0.000 0.000
Os2 0.750 0.750 0.750

***

--- two ---
A relaxed MoIrOs2 crystal. Source: OQMD, functional GGA-PBE.

Properties
**Magnetization**: 0.0001 μB/atom
**Space group**: Ama2

Unit cell a=4.395 b=5.542 c=5.542 alpha=120.02 beta=90.00 gamma=90.00
Element x y z (fractional)
Ir1 0.250 0.331 0.165
Ir2 0.750 0.165 0.331
Mo1 0.750 0.667 0.332
Mo2 0.250 0.332 0.667
Os1 0.250 0.835 0.168
Os2 0.250 0.837 0.666
Os3 0.750 0.168 0.835
Os4 0.750 0.666 0.837

***

Result of the stability comparison: two is the most stable of them.

***

--- one ---
A relaxed PmAgSO crystal. Source: OQMD, functional GGA-PBE.

Properties
**Magnetization**: 0.0000 μB/atom
**Space group**: Pca2_1

Unit cell a=7.298 b=6.100 c=6.517 alpha=90.00 beta=90.00 gamma=90.00
Element x y z (fractional)
Ag1 0.265 0.375 0.164
Ag2 0.765 0.625 0.164
Ag3 0.235 0.375 0.664
Ag4 0.735 0.625 0.664
O1 0.164 0.012 0.177
O2 0.664 0.988 0.177
O3 0.336 0.012 0.677
O4 0.836 0.988 0.677
Pm1 0.603 0.138 0.497
Pm2 0.103 0.862 0.497
Pm3 0.897 0.138 0.997
Pm4 0.397 0.862 0.997
S1 0.937 0.392 0.413
S2 0.437 0.608 0.413
S3 0.563 0.392 0.913
S4 0.063 0.608 0.913

***

--- two ---
A relaxed PmAgSO crystal. Source: OQMD, functional GGA-PBE.

Properties
**Magnetization**: 0.0002 μB/atom
**Space group**: P4/nmm

Unit cell a=5.646 b=5.646 c=9.008 alpha=90.00 beta=90.00 gamma=90.00
Element x y z (fractional)
Ag1 0.000 0.000 0.500
Ag2 0.500 0.000 0.500
Ag3 0.000 0.500 0.500
Ag4 0.500 0.500 0.500
O1 0.000 0.000 0.000
O2 0.500 0.000 0.000
O3 0.000 0.500 0.000
O4 0.500 0.500 0.000
Pm1 0.250 0.250 0.131
Pm2 0.750 0.750 0.131
Pm3 0.750 0.250 0.869
Pm4 0.250 0.750 0.869
S1 0.750 0.250 0.300
S2 0.250 0.750 0.300
S3 0.250 0.250 0.700
S4 0.750 0.750 0.700

***

Result of the stability comparison: two is the most stable of them.

***

--- one ---
A relaxed LiPdNO crystal. Source: OQMD, functional GGA-PBE.

Properties
**Space group**: Aem2

Unit cell a=3.366 b=3.366 c=7.248 alpha=90.01 beta=90.01 gamma=82.76
Element x y z (fractional)
Li1 0.821 0.321 0.500
Li2 0.321 0.821 0.500
N1 0.327 0.327 0.336
N2 0.827 0.827 0.664
O1 0.696 0.196 0.000
O2 0.196 0.696 0.000
Pd1 0.656 0.656 0.183
Pd2 0.156 0.156 0.817

***

--- two ---
A relaxed LiPdNO crystal. Source: OQMD, functional GGA-PBE.

Properties
**Space group**: Pmc2_1

Unit cell a=3.495 b=4.550 c=5.712 alpha=90.00 beta=90.00 gamma=90.00
Element x y z (fractional)
Li1 0.000 0.454 0.292
Li2 0.000 0.954 0.708
N1 0.000 0.925 0.350
N2 0.000 0.425 0.650
O1 0.500 0.423 0.162
O2 0.500 0.923 0.838
Pd1 0.500 0.951 0.212
Pd2 0.500 0.451 0.788

***

Result of the stability comparison: two is the most stable of them.

***

--- one ---
A relaxed CsTbNiTe3 crystal. Source: OQMD, functional GGA-PBE.

Properties
**Magnetization**: 0.0487 μB/atom
**Space group**: C2/m

Unit cell a=8.929 b=8.929 c=10.372 alpha=91.54 beta=91.54 gamma=29.52
Element x y z (fractional)
Cs1 0.156 0.156 0.091
Cs2 0.844 0.844 0.909
Ni1 0.506 0.506 0.374
Ni2 0.494 0.494 0.626
Tb1 0.838 0.838 0.410
Tb2 0.162 0.162 0.590
Te1 0.500 0.500 0.000
Te2 0.386 0.386 0.220
Te3 0.661 0.661 0.377
Te4 0.000 0.000 0.500
Te5 0.339 0.339 0.623
Te6 0.614 0.614 0.780

***

--- two ---
A relaxed CsTbNiTe3 crystal. Source: OQMD, functional GGA-PBE.

Properties
**Magnetization**: 0.0004 μB/atom
**Space group**: P2_1/m

Unit cell a=9.754 b=4.328 c=11.506 alpha=90.00 beta=114.74 gamma=90.00
Element x y z (fractional)
Cs1 0.477 0.250 0.206
Cs2 0.523 0.750 0.794
Ni1 0.016 0.750 0.109
Ni2 0.984 0.250 0.891
Tb1 0.042 0.250 0.353
Tb2 0.958 0.750 0.647
Te1 0.866 0.250 0.050
Te2 0.246 0.750 0.322
Te3 0.815 0.750 0.356
Te4 0.185 0.250 0.644
Te5 0.754 0.250 0.678
Te6 0.134 0.750 0.950

***

Result of the stability comparison: two is the most stable of them.

***

--- one ---
A relaxed ErAsNO crystal. Source: OQMD, functional GGA-PBE.

Properties
**Magnetization**: 0.0004 μB/atom
**Space group**: Cm

Unit cell a=6.187 b=6.187 c=3.558 alpha=105.38 beta=105.38 gamma=105.78
Element x y z (fractional)
As1 0.290 0.290 0.915
As2 0.789 0.789 0.916
Er1 0.875 0.375 0.246
Er2 0.375 0.875 0.246
N1 0.136 0.136 0.256
N2 0.634 0.634 0.263
O1 0.700 0.200 0.580
O2 0.200 0.700 0.580

***

--- two ---
A relaxed ErAsNO crystal. Source: OQMD, functional GGA-PBE.

Properties
**Magnetization**: 0.0000 μB/atom
**Space group**: Pmc2_1

Unit cell a=3.900 b=5.943 c=5.948 alpha=90.00 beta=90.00 gamma=90.00
Element x y z (fractional)
As1 0.000 0.581 0.334
As2 0.000 0.081 0.666
Er1 0.500 0.973 0.202
Er2 0.500 0.473 0.798
N1 0.000 0.903 0.407
N2 0.000 0.403 0.593
O1 0.500 0.298 0.096
O2 0.500 0.798 0.904

***

Result of the stability comparison: one is the most stable of them.